Compound: Mn2PRu
Source: Alexandria via LeMat-Bulk
Functional: PBEsol
Structure: relaxed

abc: 3.9890 3.9890 3.9890
angles: 60.00 60.00 60.00
Atoms (fractional coordinates):
Mn (0.2500, 0.2500, 0.2500)
Mn (0.7500, 0.7500, 0.7500)
P (0.0000, 0.0000, 0.0000)
Ru (0.5000, 0.5000, 0.5000)

## Properties
* SG: Fm-3m, No. 225
* E_form: 17 kJ/mol of formula units
* magnetic moment: 0.001 μB per atom